No. 1
# LiHgB (PBE-GGA, optimized geometry)
# - Formation enthalpy at 0 K: -0.150 eV/atom
# - Size of the total moment: 0.00 μB per atom
# - D(E_F): 0.6 states/eV/f.u.
# - Electronic total energy: -3.114 eV per atom
data_LiHgB
_symmetry_space_group_name_H-M 'C 1 2/m 1'
_symmetry_Int_Tables_number 12
_symmetry_space_group_name_Hall '-C 2y'
_cell_length_a 5.357
_cell_length_b 3.080
_cell_length_c 11.073
_cell_angle_alpha 90.00
_cell_angle_beta 99.46
_cell_angle_gamma 90.00
loop_
_atom_site_label
_atom_site_type_symbol
_atom_site_fract_x
_atom_site_fract_y
_atom_site_fract_z
Li1 Li 0.046 0.000 0.134
Hg1 Hg 0.214 0.000 0.638
B1 B 0.167 0.500 0.000

=====

No. 2
# LiHg3B (PBE-GGA, optimized geometry)
# - Formation enthalpy at 0 K: 0.998 eV/atom
# - Size of the total moment: 0.00 μB per atom
# - Distance to the lowest polymorph of the same formula: 0.604 eV/atom
# - D(E_F): 3.3 states/eV/f.u.
# - Electronic total energy: -0.901 eV per atom
data_LiHg3B
_symmetry_space_group_name_H-M 'P m -3 m'
_symmetry_Int_Tables_number 221
_symmetry_space_group_name_Hall '-P 4 2 3'
_cell_length_a 4.968
_cell_length_b 4.968
_cell_length_c 4.968
_cell_angle_alpha 90.00
_cell_angle_beta 90.00
_cell_angle_gamma 90.00
loop_
_atom_site_label
_atom_site_type_symbol
_atom_site_fract_x
_atom_site_fract_y
_atom_site_fract_z
Li1 Li 0.000 0.000 0.000
Hg1 Hg 0.000 0.000 0.500
B1 B 0.500 0.500 0.500

=====

No. 3
# LiHg2BO4 (PBE-GGA, optimized geometry)
# - Size of the total moment: 0.00 μB per atom
# - E_form (uncorrected): -9.841 eV per formula unit
# - D(E_F): 1.1 states/eV/f.u.
# - Electronic total energy: -4.859 eV per atom
data_LiHg2BO4
_symmetry_space_group_name_H-M 'I -4'
_symmetry_Int_Tables_number 82
_symmetry_space_group_name_Hall 'I -4'
_cell_length_a 4.710
_cell_length_b 4.710
_cell_length_c 8.664
_cell_angle_alpha 90.00
_cell_angle_beta 90.00
_cell_angle_gamma 90.00
loop_
_atom_site_label
_atom_site_type_symbol
_atom_site_fract_x
_atom_site_fract_y
_atom_site_fract_z
Li1 Li 0.000 0.000 0.000
Hg1 Hg 0.000 0.000 0.500
Hg2 Hg 0.000 0.500 0.750
B1 B 0.000 0.500 0.250
O1 O 0.148 0.292 0.146

=====

No. 4
# LiHg2B2O6 (PBE-GGA, optimized geometry)
# - Size of the total moment: 0.10 μB per atom
# - E_form (uncorrected): -13.817 eV per formula unit
# - D(E_F): 4.3 states/eV/f.u.
# - Electronic total energy: -5.404 eV per atom
data_LiHg2B2O6
_symmetry_space_group_name_H-M 'R -3 m'
_symmetry_Int_Tables_number 166
_symmetry_space_group_name_Hall '-R 3 2"'
_cell_length_a 5.0813
_cell_length_b 5.0813
_cell_length_c 16.8168
_cell_angle_alpha 90.00
_cell_angle_beta 90.00
_cell_angle_gamma 120.00
loop_
_atom_site_label
_atom_site_type_symbol
_atom_site_fract_x
_atom_site_fract_y
_atom_site_fract_z
Li1 Li 0.0000 0.0000 0.0000
Hg1 Hg 0.0000 0.0000 0.2234
B1 B 0.0000 0.0000 0.4163
O1 O 0.0214 0.5107 0.2500

=====

No. 5
# LiHgBPd2 (PBE-GGA, optimized geometry)
# - Formation enthalpy at 0 K: -0.159 eV/atom
# - Size of the total moment: 0.00 μB per atom
# - D(E_F): 2.6 states/eV/f.u.
# - Electronic total energy: -4.015 eV per atom
data_LiHgBPd2
_symmetry_space_group_name_H-M 'P 4/m m m'
_symmetry_Int_Tables_number 123
_symmetry_space_group_name_Hall '-P 4 2'
_cell_length_a 4.142
_cell_length_b 4.142
_cell_length_c 4.402
_cell_angle_alpha 90.00
_cell_angle_beta 90.00
_cell_angle_gamma 90.00
loop_
_atom_site_label
_atom_site_type_symbol
_atom_site_fract_x
_atom_site_fract_y
_atom_site_fract_z
Li1 Li 0.000 0.000 0.000
Hg1 Hg 0.500 0.500 0.000
B1 B 0.000 0.000 0.500
Pd1 Pd 0.000 0.500 0.500

=====

No. 6
# Li3Hg2BPd3 (PBE-GGA, optimized geometry)
# - Formation enthalpy at 0 K: -0.398 eV/atom
# - Size of the total moment: 0.00 μB per atom
# - D(E_F): 1.9 states/eV/f.u.
# - Electronic total energy: -3.576 eV per atom
data_Li3Hg2BPd3
_symmetry_space_group_name_H-M 'P -6 2 m'
_symmetry_Int_Tables_number 189
_symmetry_space_group_name_Hall 'P -6 -2'
_cell_length_a 7.2314
_cell_length_b 7.2314
_cell_length_c 3.0016
_cell_angle_alpha 90.00
_cell_angle_beta 90.00
_cell_angle_gamma 120.00
loop_
_atom_site_label
_atom_site_type_symbol
_atom_site_fract_x
_atom_site_fract_y
_atom_site_fract_z
Li1 Li 0.0000 0.6343 0.0000
Hg1 Hg 0.3333 0.6667 0.5000
B1 B 0.0000 0.0000 0.0000
Pd1 Pd 0.0000 0.2248 0.5000

=====

No. 7
# LiRe2HgB (PBE-GGA, optimized geometry)
# - Formation enthalpy at 0 K: 2.288 eV/atom
# - Size of the total moment: 0.00 μB per atom
# - D(E_F): 5.3 states/eV/f.u.
# - Electronic total energy: -4.470 eV per atom
data_LiRe2HgB
_symmetry_space_group_name_H-M 'P 4/m m m'
_symmetry_Int_Tables_number 123
_symmetry_space_group_name_Hall '-P 4 2'
_cell_length_a 4.217
_cell_length_b 4.217
_cell_length_c 4.205
_cell_angle_alpha 90.00
_cell_angle_beta 90.00
_cell_angle_gamma 90.00
loop_
_atom_site_label
_atom_site_type_symbol
_atom_site_fract_x
_atom_site_fract_y
_atom_site_fract_z
Li1 Li 0.000 0.000 0.000
Re1 Re 0.000 0.500 0.000
Hg1 Hg 0.000 0.000 0.500
B1 B 0.500 0.500 0.500

=====

No. 8
# LiHgBRh2 (PBE-GGA, optimized geometry)
# - Formation enthalpy at 0 K: -0.209 eV/atom
# - Size of the total moment: 0.00 μB per atom
# - D(E_F): 2.5 states/eV/f.u.
# - Electronic total energy: -4.928 eV per atom
data_LiHgBRh2
_symmetry_space_group_name_H-M 'P 4/m m m'
_symmetry_Int_Tables_number 123
_symmetry_space_group_name_Hall '-P 4 2'
_cell_length_a 4.088
_cell_length_b 4.088
_cell_length_c 4.269
_cell_angle_alpha 90.00
_cell_angle_beta 90.00
_cell_angle_gamma 90.00
loop_
_atom_site_label
_atom_site_type_symbol
_atom_site_fract_x
_atom_site_fract_y
_atom_site_fract_z
Li1 Li 0.000 0.000 0.000
Hg1 Hg 0.500 0.500 0.000
B1 B 0.000 0.000 0.500
Rh1 Rh 0.000 0.500 0.500

=====

No. 9
# LiHg2BS4 (PBE-GGA, optimized geometry)
# - Size of the total moment: 0.00 μB per atom
# - E_form (uncorrected): -3.569 eV per formula unit
# - Electronic total energy: -3.659 eV per atom
data_LiHg2BS4
_symmetry_space_group_name_H-M 'P m n 21'
_symmetry_Int_Tables_number 31
_symmetry_space_group_name_Hall 'P 2ac -2'
_cell_length_a 7.849
_cell_length_b 6.646
_cell_length_c 6.375
_cell_angle_alpha 90.00
_cell_angle_beta 90.00
_cell_angle_gamma 90.00
loop_
_atom_site_label
_atom_site_type_symbol
_atom_site_fract_x
_atom_site_fract_y
_atom_site_fract_z
Li1 Li 0.000 0.150 0.000
Hg1 Hg 0.244 0.309 0.520
B1 B 0.000 0.818 0.507
S1 S 0.000 0.084 0.381
S2 S 0.000 0.834 0.811
S3 S 0.211 0.689 0.419

=====

No. 10
# LiHgB2S (PBE-GGA, optimized geometry)
# - Size of the total moment: 0.00 μB per atom
# - E_form (uncorrected): 5.670 eV per formula unit
# - D(E_F): 1.5 states/eV/f.u.
# - Electronic total energy: -2.806 eV per atom
data_LiHgB2S
_symmetry_space_group_name_H-M 'P 4/m m m'
_symmetry_Int_Tables_number 123
_symmetry_space_group_name_Hall '-P 4 2'
_cell_length_a 3.819
_cell_length_b 3.819
_cell_length_c 6.172
_cell_angle_alpha 90.00
_cell_angle_beta 90.00
_cell_angle_gamma 90.00
loop_
_atom_site_label
_atom_site_type_symbol
_atom_site_fract_x
_atom_site_fract_y
_atom_site_fract_z
Li1 Li 0.000 0.000 0.000
Hg1 Hg 0.500 0.500 0.000
B1 B 0.000 0.500 0.500
S1 S 0.500 0.500 0.500

=====

No. 11
# Li2ZrHgB (PBE-GGA, optimized geometry)
# - Formation enthalpy at 0 K: 1.065 eV/atom
# - Size of the total moment: 0.00 μB per atom
# - D(E_F): 3.8 states/eV/f.u.
# - Electronic total energy: -2.806 eV per atom
data_Li2ZrHgB
_symmetry_space_group_name_H-M 'P 4/m m m'
_symmetry_Int_Tables_number 123
_symmetry_space_group_name_Hall '-P 4 2'
_cell_length_a 4.408
_cell_length_b 4.408
_cell_length_c 5.543
_cell_angle_alpha 90.00
_cell_angle_beta 90.00
_cell_angle_gamma 90.00
loop_
_atom_site_label
_atom_site_type_symbol
_atom_site_fract_x
_atom_site_fract_y
_atom_site_fract_z
Li1 Li 0.000 0.500 0.000
Zr1 Zr 0.000 0.000 0.500
Hg1 Hg 0.000 0.000 0.000
B1 B 0.500 0.500 0.500

=====

No. 12
# Lu3HgB (PBE-GGA, optimized geometry)
# - Formation enthalpy at 0 K: -0.201 eV/atom
# - Size of the total moment: 0.20 μB per atom
# - D(E_F): 7.0 states/eV/f.u.
# - Electronic total energy: -4.310 eV per atom
data_Lu3HgB
_symmetry_space_group_name_H-M 'P m -3 m'
_symmetry_Int_Tables_number 221
_symmetry_space_group_name_Hall '-P 4 2 3'
_cell_length_a 4.911
_cell_length_b 4.911
_cell_length_c 4.911
_cell_angle_alpha 90.00
_cell_angle_beta 90.00
_cell_angle_gamma 90.00
loop_
_atom_site_label
_atom_site_type_symbol
_atom_site_fract_x
_atom_site_fract_y
_atom_site_fract_z
Lu1 Lu 0.000 0.000 0.500
Hg1 Hg 0.500 0.500 0.500
B1 B 0.000 0.000 0.000